(1)
An optimized crystal structure of CdGaPb, computed with PBE.

```
CdGaPb
1.0
3.350 0.000 0.000
-1.675 2.901 0.000
0.000 0.000 7.817
Cd Pb Ga
1 1 1
direct
0.333 0.667 0.647
0.000 0.000 0.008
0.667 0.333 0.345
```

Output
**Total moment**: 0.0000 μB/atom
**N(E_F)**: 0.214 states/eV per atom
**Formation energy**: 0.08 eV/atom
**Relative energy among the computed polymorphs**: 33 meV/atom


(2)
An optimized crystal structure of CaLaH8Rh2, computed with PBE.

```
CaLaH8Rh2
1.0
5.096 0.000 0.000
2.548 4.413 0.000
2.548 1.471 5.662
H La Rh Ca
8 1 2 1
direct
0.899 0.566 0.143
0.101 0.434 0.857
0.201 0.201 0.398
0.566 0.392 0.143
0.799 0.799 0.602
0.434 0.608 0.857
0.608 0.101 0.857
0.392 0.899 0.143
0.500 0.500 0.500
0.304 0.304 0.088
0.696 0.696 0.912
0.000 0.000 0.000
```

Output
**Total DFT energy (no corrections)**: -0.32096 Ry/atom
**Total moment**: 0.0062 μB/atom
**N(E_F)**: 0.409 states/eV per atom


(3)
An optimized crystal structure of Cs2ScB2Se6, computed with PBE.

```
Cs2ScB2Se6
1.0
7.000 0.000 0.000
-3.500 6.069 -0.206
0.000 -3.751 8.245
Cs Se B Sc
2 6 2 1
direct
0.711 0.422 0.135
0.289 0.578 0.865
0.745 0.489 0.714
0.228 0.974 0.717
0.746 0.974 0.717
0.255 0.511 0.286
0.254 0.026 0.283
0.772 0.026 0.283
0.898 0.796 0.692
0.102 0.204 0.308
0.500 0.000 0.500
```

Output
**Uncorrected formation energy**: -0.724 eV per atom
**Total moment**: 0.0000 μB/atom
**N(E_F)**: 0.487 states/eV per atom


(4)
An optimized crystal structure of Dy3AlCo, computed with PBE.

```
Dy3AlCo
1.0
-4.896 1.977 -2.520
-1.483 -2.755 -4.943
-6.666 -5.400 1.157
Al Dy Co
2 6 2
direct
0.705 0.295 0.500
0.295 0.705 0.500
0.314 0.314 0.872
0.026 0.026 0.770
0.974 0.974 0.230
0.700 0.700 0.678
0.686 0.686 0.128
0.300 0.300 0.322
0.692 0.308 0.000
0.308 0.692 0.000
```

Output
**Total moment**: 0.0000 μB/atom
**N(E_F)**: 0.920 states/eV per atom
**Formation energy**: -0.23 eV/atom
**Relative energy among the computed polymorphs**: 0 meV/atom


(5)
An optimized crystal structure of CsAlI, computed with PBE.

```
CsAlI
1.0
-5.932 0.881 -12.242
0.106 -4.922 -0.406
-6.067 -0.602 5.713
Cs I Al
4 4 4
direct
0.030 0.500 0.119
0.030 0.000 0.619
0.424 0.500 0.986
0.424 0.000 0.486
0.223 0.500 0.551
0.832 0.000 0.182
0.223 0.000 0.051
0.832 0.500 0.682
0.634 0.500 0.418
0.634 0.500 0.755
0.634 0.000 0.255
0.634 0.000 0.918
```

Output
**Uncorrected formation energy**: -0.602 eV per atom
**Total moment**: 0.0000 μB/atom
**N(E_F)**: 0.070 states/eV per atom
**Relative energy among the computed polymorphs**: 0 meV/atom


(6)
An optimized crystal structure of Ce4Sb5H2, computed with PBE.

```
Ce4Sb5H2
1.0
4.158 0.000 0.000
0.000 7.386 -0.600
-2.079 -2.963 9.633
Ce Sb H
4 5 2
direct
0.311 0.312 0.622
0.000 0.312 0.000
0.689 0.688 0.378
0.000 0.688 0.000
0.161 0.964 0.321
0.839 0.644 0.679
0.500 0.000 0.000
0.161 0.356 0.321
0.839 0.036 0.679
0.442 0.444 0.885
0.558 0.556 0.115
```

Output
**Total DFT energy (no corrections)**: -0.37390 Ry/atom
**Total moment**: 0.1741 μB/atom
**N(E_F)**: 1.263 states/eV per atom


(7)
An optimized crystal structure of Li4BePb, computed with PBE.

```
Li4BePb
1.0
-3.372 -3.972 -0.560
-5.120 0.968 -0.562
-2.331 -0.827 -4.620
Be Li Pb
1 4 1
direct
0.000 0.000 0.000
0.877 0.374 0.374
0.374 0.374 0.877
0.374 0.374 0.374
0.374 0.877 0.374
0.750 0.750 0.750
```

Output
**Total moment**: 0.0451 μB/atom
**N(E_F)**: 0.464 states/eV per atom
**Formation energy**: 0.19 eV/atom


(8)
An optimized crystal structure of TbHo6Tl2, computed with PBE.

```
TbHo6Tl2
1.0
-5.205 0.519 -2.176
1.459 -3.390 -4.298
-1.231 -6.817 8.693
Ho Tl Tb
6 2 1
direct
0.750 0.250 0.500
0.250 0.750 0.500
0.878 0.258 0.136
0.122 0.122 0.864
0.258 0.878 0.136
0.742 0.742 0.864
0.193 0.193 0.386
0.807 0.807 0.614
0.500 0.500 0.000
```

Output
**Total moment**: 0.0001 μB/atom
**N(E_F)**: 1.117 states/eV per atom
**Formation energy**: 0.59 eV/atom
**Relative energy among the computed polymorphs**: 738 meV/atom


What is the N(E_F) in the second record?
0.409 states/eV per atom